[1]
First-principles (PBE) data for a relaxed AsPdPbBr2 crystal, as listed in Alexandria.

total moment	0.0	μB/f.u.
symmetry	P4/mmm, No. 123
VASP energy	-0.2490	Ry/atom
energy above the lowest structure with this stoichiometry	0	meV/atom

Cell lengths 5.1383, 5.1383, 5.0486 Å; angles 90.00, 90.00, 90.00 degrees
Element x y z (fractional)
Br: 0.0000 0.5000 0.0000
Br: 0.5000 0.0000 0.0000
As: 0.0000 0.0000 0.5000
Pd: 0.0000 0.0000 0.0000
Pb: 0.5000 0.5000 0.5000

=====

[2]
First-principles (PBE) data for a relaxed As2PdPbBr crystal, as listed in Alexandria.

total moment	1.2	μB/f.u.
symmetry	P4/mmm, No. 123
VASP energy	-0.2754	Ry/atom
energy above the lowest structure with this stoichiometry	0	meV/atom

Cell lengths 4.8919, 4.8919, 5.4338 Å; angles 90.00, 90.00, 90.00 degrees
Element x y z (fractional)
As: 0.0000 0.5000 0.0000
As: 0.5000 0.0000 0.0000
Br: 0.0000 0.0000 0.5000
Pb: 0.5000 0.5000 0.5000
Pd: 0.0000 0.0000 0.0000

=====

[3]
First-principles (PBE) data for a relaxed Pr3AsPbBr crystal, as listed in Alexandria.

total moment	0.0	μB/f.u.
symmetry	P2_1/m, No. 11
VASP energy	-0.3796	Ry/atom

Cell lengths 4.3020, 7.6692, 11.7277 Å; angles 102.35, 90.00, 90.00 degrees
Element x y z (fractional)
Pr: 0.2500 0.9538 0.8551
Pr: 0.2500 0.7189 0.5024
Pr: 0.7500 0.2811 0.4976
Pr: 0.7500 0.5465 0.1529
Pr: 0.2500 0.4535 0.8471
Pr: 0.7500 0.0462 0.1449
Br: 0.7500 0.8768 0.3655
Br: 0.2500 0.1232 0.6345
Pb: 0.2500 0.3481 0.3033
Pb: 0.7500 0.6519 0.6967
As: 0.7500 0.2343 0.9419
As: 0.2500 0.7657 0.0581

=====

> What is the VASP energy in the second record?

-0.2754 Ry/atom